Entry 1:
DFT (PBE) results for a relaxed Hf3OsPb crystal.

Cell lengths 5.046, 5.046, 5.046 Å; angles 90.00, 90.00, 90.00 degrees
Fractional coordinates of all 5 atoms:
Hf  0.000  0.000  0.500
Hf  0.500  0.000  0.000
Hf  0.000  0.500  0.000
Pb  0.500  0.500  0.500
Os  0.000  0.000  0.000

Summary:
- Calculated density: 12.05 g cm⁻³
- Symmetry: Pm-3m (221)
- Formation energy from the elements: 0.253 eV/atom
- Size of the total moment: 0.0 Bohr magnetons per cell
- Density of states at the Fermi level: 8.03 states/eV per cell

=====

Entry 2:
DFT (PBE) results for a relaxed NbNiSb2Te crystal.

Cell lengths 4.852, 4.852, 5.076 Å; angles 90.00, 90.00, 90.00 degrees
Fractional coordinates of all 5 atoms:
Sb  0.500  0.000  0.000
Sb  0.000  0.500  0.000
Ni  0.000  0.000  0.000
Nb  0.500  0.500  0.500
Te  0.000  0.000  0.500

Summary:
- Calculated density: 7.26 g cm⁻³
- Symmetry: P4/mmm (123)
- Size of the total moment: 0.0 Bohr magnetons per cell
- Formation energy from raw total energies: 0.70 eV per atom
- Density of states at the Fermi level: 6.73 states/eV per cell

=====

Entry 3:
DFT (PBE) results for a relaxed PuBiH2 crystal.

Cell lengths 3.601, 6.333, 6.224 Å; angles 90.00, 90.00, 106.52 degrees
Fractional coordinates of all 8 atoms:
H  0.308  0.617  0.948
H  0.692  0.383  0.052
H  0.308  0.617  0.552
H  0.692  0.383  0.448
Bi  0.051  0.103  0.750
Bi  0.949  0.897  0.250
Pu  0.783  0.566  0.750
Pu  0.217  0.434  0.250

Summary:
- Calculated density: 11.11 g cm⁻³
- Symmetry: Cmcm (63)
- Size of the total moment: 10.0 Bohr magnetons per cell
- Total DFT energy (no corrections): -6.496 eV per atom
- Density of states at the Fermi level: 17.11 states/eV per cell

=====

Entry 4:
DFT (PBE) results for a relaxed TcAgS4 crystal.

Cell lengths 6.570, 7.553, 6.516 Å; angles 103.76, 92.86, 118.15 degrees
Fractional coordinates of all 12 atoms:
S  0.480  0.006  0.766
S  0.399  0.391  0.221
S  0.032  0.116  0.774
S  0.844  0.258  0.263
S  0.968  0.884  0.226
S  0.601  0.609  0.779
S  0.520  0.994  0.234
S  0.156  0.742  0.737
Ag  0.806  0.597  0.435
Ag  0.194  0.403  0.565
Tc  0.769  0.950  0.965
Tc  0.231  0.050  0.035

Summary:
- Calculated density: 4.08 g cm⁻³
- Symmetry: P-1 (2)
- Size of the total moment: 0.0 Bohr magnetons per cell
- Formation energy from raw total energies: -0.12 eV per atom
- Density of states at the Fermi level: 5.23 states/eV per cell

=====

Entry 5:
DFT (PBE) results for a relaxed Nd2YHoTm5 crystal.

Cell lengths 8.585, 8.585, 9.846 Å; angles 115.85, 115.85, 90.00 degrees
Fractional coordinates of all 18 atoms:
Tm  0.852  0.928  0.280
Tm  0.428  0.352  0.280
Tm  0.572  0.648  0.720
Tm  0.148  0.072  0.720
Tm  0.000  0.000  0.000
Tm  0.500  0.500  0.000
Tm  0.072  0.572  0.720
Tm  0.648  0.148  0.720
Tm  0.928  0.428  0.280
Tm  0.352  0.852  0.280
Nd  0.118  0.382  0.000
Nd  0.882  0.618  0.000
Nd  0.382  0.882  0.000
Nd  0.618  0.118  0.000
Y  0.250  0.250  0.500
Y  0.750  0.750  0.500
Ho  0.750  0.250  0.500
Ho  0.250  0.750  0.500

Summary:
- Calculated density: 8.06 g cm⁻³
- Symmetry: I4/mcm (140)
- Formation energy from the elements: 0.271 eV/atom
- Size of the total moment: 0.0 Bohr magnetons per cell
- Density of states at the Fermi level: 21.68 states/eV per cell

=====

Entry 6:
DFT (PBE) results for a relaxed ZrTaO2 crystal.

Cell lengths 6.937, 6.937, 6.937 Å; angles 25.63, 25.63, 25.63 degrees
Fractional coordinates of all 4 atoms:
O  0.901  0.901  0.901
O  0.099  0.099  0.099
Ta  0.000  0.000  0.000
Zr  0.500  0.500  0.500

Summary:
- Calculated density: 9.18 g cm⁻³
- Symmetry: R-3m (166)
- Size of the total moment: 0.0 Bohr magnetons per cell
- Formation energy from raw total energies: -1.95 eV per atom
- Density of states at the Fermi level: 1.85 states/eV per cell

=====

Entry 7:
DFT (PBE) results for a relaxed Ac2TlAsO6 crystal.

Cell lengths 5.445, 5.766, 5.766 Å; angles 90.00, 90.00, 90.00 degrees
Fractional coordinates of all 10 atoms:
O  0.738  0.213  0.787
O  0.305  0.000  0.000
O  0.738  0.213  0.213
O  0.051  0.500  0.500
O  0.738  0.787  0.787
O  0.738  0.787  0.213
Ac  0.996  0.500  0.000
Ac  0.996  0.000  0.500
Tl  0.519  0.500  0.500
As  0.628  0.000  0.000

Summary:
- Calculated density: 7.61 g cm⁻³
- Symmetry: P4mm (99)
- Size of the total moment: 0.0 Bohr magnetons per cell
- Formation energy from raw total energies: -2.08 eV per atom

=====

Entry 8:
DFT (PBE) results for a relaxed PrZn3Au crystal.

Cell lengths 4.155, 4.156, 6.573 Å; angles 71.15, 71.15, 89.40 degrees
Fractional coordinates of all 5 atoms:
Zn  0.155  0.460  0.394
Zn  0.656  0.959  0.394
Zn  0.788  0.592  0.132
Pr  0.400  0.203  0.906
Au  0.009  0.812  0.686

Summary:
- Calculated density: 8.77 g cm⁻³
- Symmetry: Cm (8)
- Formation energy from the elements: -0.426 eV/atom
- Size of the total moment: 0.0 Bohr magnetons per cell
- Density of states at the Fermi level: 2.83 states/eV per cell

=====

Entry 9:
DFT (PBE) results for a relaxed Pm2ZnGe2 crystal.

Cell lengths 4.275, 7.248, 8.237 Å; angles 90.00, 105.04, 90.00 degrees
Fractional coordinates of all 10 atoms:
Zn  0.405  0.076  0.809
Zn  0.595  0.576  0.191
Ge  0.432  0.444  0.863
Ge  0.171  0.490  0.342
Ge  0.568  0.944  0.137
Ge  0.829  0.990  0.658
Pm  0.970  0.733  0.941
Pm  0.209  0.892  0.419
Pm  0.030  0.233  0.059
Pm  0.791  0.392  0.581

Summary:
- Calculated density: 6.74 g cm⁻³
- Symmetry: Cmc2_1 (36)
- Formation energy from the elements: -0.689 eV/atom
- Size of the total moment: 0.0 Bohr magnetons per cell
- Density of states at the Fermi level: 1.80 states/eV per cell

=====

Entry 10:
DFT (PBE) results for a relaxed K2SrTaSe4 crystal.

Cell lengths 7.281, 7.281, 7.281 Å; angles 98.52, 115.21, 115.21 degrees
Fractional coordinates of all 8 atoms:
Sr  0.500  0.250  0.750
K  0.000  0.000  0.000
K  0.500  0.750  0.250
Se  0.407  0.825  0.803
Se  0.979  0.583  0.175
Se  0.593  0.396  0.417
Se  0.021  0.197  0.604
Ta  0.000  0.500  0.500

Summary:
- Calculated density: 3.80 g cm⁻³
- Symmetry: I-4 (82)
- Size of the total moment: 1.0 Bohr magnetons per cell
- Formation energy from raw total energies: -1.09 eV per atom
- Density of states at the Fermi level: 2.20 states/eV per cell

=====

Entry 11:
DFT (PBE) results for a relaxed LiScPa2N5 crystal.

Cell lengths 3.384, 6.754, 9.906 Å; angles 90.00, 90.00, 104.51 degrees
Fractional coordinates of all 18 atoms:
N  0.499  0.998  0.276
N  0.690  0.380  0.849
N  0.361  0.723  0.002
N  0.711  0.422  0.161
N  0.047  0.093  0.088
N  0.639  0.277  0.502
N  0.501  0.002  0.776
N  0.310  0.620  0.349
N  0.953  0.907  0.588
N  0.289  0.578  0.661
Pa  0.886  0.773  0.177
Pa  0.132  0.264  0.292
Pa  0.868  0.736  0.792
Pa  0.114  0.227  0.677
Sc  0.802  0.604  0.495
Sc  0.198  0.396  0.995
Li  0.520  0.041  0.983
Li  0.480  0.959  0.483

Summary:
- Calculated density: 8.85 g cm⁻³
- Symmetry: Cmc2_1 (36)
- Size of the total moment: 0.0 Bohr magnetons per cell
- Formation energy from raw total energies: -1.21 eV per atom
- Density of states at the Fermi level: 6.15 states/eV per cell

=====

Entry 12:
DFT (PBE) results for a relaxed InCuTe2 crystal.

Cell lengths 4.136, 4.136, 7.272 Å; angles 73.47, 73.47, 59.67 degrees
Fractional coordinates of all 4 atoms:
Te  0.486  0.486  0.536
Te  0.014  0.014  0.964
Cu  0.750  0.750  0.750
In  0.250  0.250  0.250

Summary:
- Calculated density: 7.10 g cm⁻³
- Symmetry: C2/m (12)
- Size of the total moment: 0.0 Bohr magnetons per cell
- Formation energy from raw total energies: -0.12 eV per atom
- Density of states at the Fermi level: 2.34 states/eV per cell